A relaxed KSn2SbAu crystal. Source: Alexandria, functional PBE.

Calculated values
**E**: -3.457 eV/atom
**Space group**: Pmm2, No. 25
**ΔE_f (raw)**: -156.5 meV/atom

abc: 5.354 5.142 6.878
angles: 90.00 90.00 90.00
Atoms (fractional coordinates):
Sn1 0.500 0.000 0.933
Sn2 0.000 0.500 0.902
Sb1 0.500 0.500 0.676
Au1 0.000 0.000 0.008
K1 0.000 0.000 0.481



A relaxed KSnSb2Au4 crystal. Source: Alexandria, functional PBE.

Calculated values
**E**: -3.505 eV/atom
**Space group**: P4/mmm, No. 123
**ΔE_f (raw)**: -197.8 meV/atom

abc: 4.919 4.919 8.577
angles: 90.00 90.00 90.00
Atoms (fractional coordinates):
Sb1 0.500 0.500 0.674
Au1 0.000 0.500 0.176
Sb2 0.500 0.500 0.326
Sn1 0.000 0.000 0.000
Au2 0.000 0.500 0.824
Au3 0.500 0.000 0.176
Au4 0.500 0.000 0.824
K1 0.000 0.000 0.500



A relaxed K2SnSbAu6 crystal. Source: Alexandria, functional PBE.

Calculated values
**E**: -3.133 eV/atom
**Space group**: C2/m, No. 12
**ΔE_f (raw)**: -134.9 meV/atom

abc: 7.606 7.608 7.586
angles: 59.76 59.77 90.02
Atoms (fractional coordinates):
K1 0.750 0.250 0.500
Au1 0.751 0.751 0.499
K2 0.250 0.750 0.500
Au2 0.750 0.249 0.000
Sn1 0.000 0.000 0.000
Au3 0.249 0.249 0.501
Au4 0.249 0.250 0.000
Au5 0.751 0.750 0.000
Au6 0.250 0.751 0.000
Sb1 0.500 0.500 0.000



A relaxed K2Sn3SbAu4 crystal. Source: Alexandria, functional PBE.

Calculated values
**E**: -3.446 eV/atom
**Space group**: P-4m2, No. 115
**ΔE_f (raw)**: -302.3 meV/atom

abc: 5.014 5.014 10.793
angles: 90.00 90.00 90.00
Atoms (fractional coordinates):
Sb1 0.500 0.500 0.500
K1 0.500 0.000 0.244
Sn1 0.000 0.000 0.500
K2 0.000 0.500 0.756
Sn2 0.000 0.500 0.115
Au1 0.000 0.000 0.000
Sn3 0.500 0.000 0.885
Au2 0.500 0.500 0.000
Au3 0.500 0.000 0.628
Au4 0.000 0.500 0.372